Run a
Material: YScHg
Method: DFT, PBEsol
State: relaxed Values from VASP.

ρ	7.638	Mg/m³
DOS(E_F)	1.093	states/eV per atom

Structure (Quantum ESPRESSO input):
```
&SYSTEM
  ibrav = 0, nat = 3, ntyp = 3
/
ATOMIC_SPECIES
Y 88.91 Y.upf
Sc 44.96 Sc.upf
Hg 200.59 Hg.upf
CELL_PARAMETERS angstrom
-1.234 1.952 2.551
0.959 -2.384 2.288
5.609 2.950 -1.865
ATOMIC_POSITIONS angstrom
Y 3.721 1.860 0.377
Sc 1.500 0.602 2.585
Hg 0.114 0.057 0.012
```



Run b
Material: YScHg
Method: DFT, PBEsol
State: relaxed Values from VASP.

ρ	7.690	Mg/m³
DOS(E_F)	0.315	states/eV per atom

Structure (Quantum ESPRESSO input):
```
&SYSTEM
  ibrav = 0, nat = 12, ntyp = 3
/
ATOMIC_SPECIES
Y 88.91 Y.upf
Sc 44.96 Sc.upf
Hg 200.59 Hg.upf
CELL_PARAMETERS angstrom
-1.680 0.986 -4.628
1.903 -5.854 -1.939
-7.979 -3.319 2.189
ATOMIC_POSITIONS angstrom
Y -4.328 -5.931 -3.779
Y 0.266 -4.042 -2.320
Y -3.428 -2.255 -0.599
Y -8.022 -4.145 -2.058
Sc -1.026 -5.722 -4.933
Sc -5.077 -5.101 -0.606
Sc -6.729 -2.465 0.555
Sc -2.678 -3.086 -3.772
Hg -5.467 -2.862 -2.711
Hg -0.747 -1.361 -1.381
Hg -2.288 -5.325 -1.667
Hg -7.008 -6.826 -2.997
```



Relative to the most stable one, in meV per atom, the structures come out at run a 86; run b 0.